{
  "formula": "BeAuSe",
  "functional": "PBE",
  "state": "relaxed",
  "lattice": [[3.5439, 0.0000, 0.0000], [-1.7720, 3.0691, 0.0000], [0.0000, 0.0000, 4.7008]],
  "species": ["Be", "Au", "Se"],
  "fractional_positions": [[0.6667, 0.3333, 0.3726], [0.0000, 0.0000, 0.0463], [0.3333, 0.6667, 0.5811]],
  "e_above_lowest_polymorph_ev_per_fu": 0.00,
  "space_group": "P3m1",
  "volume_a3_per_atom": 17.04,
  "formation_energy_uncorrected_mev_per_atom": -40,
  "dos_at_fermi_per_ev_cell": 1.13
}

{
  "formula": "CoBH2",
  "functional": "PBE",
  "state": "relaxed",
  "lattice": [[2.8864, 0.0000, 0.0000], [0.0000, 2.8864, 0.0000], [1.4432, 1.4432, 5.8406]],
  "species": ["H", "H", "H", "H", "B", "B", "Co", "Co"],
  "fractional_positions": [[0.6608, 0.1250, 0.2500], [0.0892, 0.6250, 0.2500], [0.3750, 0.3392, 0.7500], [0.8750, 0.9108, 0.7500], [0.5000, 0.5000, 0.0000], [0.2500, 0.7500, 0.5000], [0.0000, 0.0000, 0.0000], [0.7500, 0.2500, 0.5000]],
  "e_above_lowest_polymorph_ev_per_fu": 0.00,
  "space_group": "I-42d",
  "volume_a3_per_atom": 6.08,
  "dos_at_fermi_per_ev_cell": 3.92
}

{
  "formula": "Ag2Bi2F7",
  "functional": "PBE",
  "state": "relaxed",
  "lattice": [[5.7306, -0.0015, -0.1221], [0.0042, 5.8513, 0.0011], [-0.4789, -0.0033, 5.7118]],
  "species": ["Ag", "Ag", "Bi", "Bi", "F", "F", "F", "F", "F", "F", "F"],
  "fractional_positions": [[0.8180, 0.5000, 0.8180], [0.1820, 0.5000, 0.1820], [0.7250, 0.0000, 0.2750], [0.2750, 0.0000, 0.7250], [0.9999, 0.2349, 0.5000], [0.5000, 0.7651, 0.9999], [0.0001, 0.7651, 0.5000], [0.5000, 0.2349, 0.0001], [0.0000, 0.0000, 0.0000], [0.5001, 0.7718, 0.4999], [0.4999, 0.2282, 0.5001]],
  "space_group": "Cmmm",
  "volume_a3_per_atom": 17.38,
  "formation_energy_uncorrected_mev_per_atom": -1788,
  "dos_at_fermi_per_ev_cell": 2.91
}

{
  "formula": "MgVCu",
  "functional": "PBE",
  "state": "relaxed",
  "lattice": [[-0.5579, -2.0133, -1.8295], [1.4697, -4.8446, 5.1259], [-5.2889, 0.5262, -1.7084]],
  "species": ["Mg", "Mg", "Cu", "Cu", "V", "V"],
  "fractional_positions": [[0.8054, 0.6439, 0.4055], [0.5400, 0.2942, 0.8464], [0.9991, 0.6241, 0.8499], [0.0885, 0.9683, 0.8241], [0.4623, 0.2445, 0.3370], [0.2257, 0.9686, 0.2809]],
  "e_above_lowest_polymorph_ev_per_fu": 0.25,
  "space_group": "P1",
  "volume_a3_per_atom": 15.31,
  "dos_at_fermi_per_ev_cell": 3.59
}

{
  "formula": "HoSnN",
  "functional": "PBE",
  "state": "relaxed",
  "lattice": [[3.3450, 0.0000, 0.0000], [0.0000, 3.3450, 0.0000], [-1.6725, -1.6725, 5.6730]],
  "species": ["Ho", "Sn", "N"],
  "fractional_positions": [[0.7405, 0.7405, 0.4809], [0.0294, 0.0294, 0.0588], [0.2301, 0.2301, 0.4602]],
  "e_above_lowest_polymorph_ev_per_fu": 0.00,
  "space_group": "I4mm",
  "volume_a3_per_atom": 21.16,
  "formation_energy_uncorrected_mev_per_atom": -803,
  "dos_at_fermi_per_ev_cell": 1.16
}

{
  "formula": "Er2MgAu3",
  "functional": "PBE",
  "state": "relaxed",
  "lattice": [[3.5002, 0.0000, 0.0000], [0.0000, 3.5002, 0.0000], [0.0000, 0.0000, 10.4492]],
  "species": ["Er", "Er", "Mg", "Au", "Au", "Au"],
  "fractional_positions": [[0.5000, 0.5000, 0.8244], [0.5000, 0.5000, 0.1756], [0.5000, 0.5000, 0.5000], [0.0000, 0.0000, 0.0000], [0.0000, 0.0000, 0.6569], [0.0000, 0.0000, 0.3431]],
  "e_above_lowest_polymorph_ev_per_fu": 0.15,
  "space_group": "P4/mmm",
  "volume_a3_per_atom": 21.34,
  "dos_at_fermi_per_ev_cell": 2.66
}

{
  "formula": "CaCdMo",
  "functional": "PBE",
  "state": "relaxed",
  "lattice": [[-6.9073, -1.7538, -2.8916], [-4.5094, -5.0125, -3.6997], [5.1681, 2.5385, 5.0985]],
  "species": ["Mo", "Ca", "Cd"],
  "fractional_positions": [[0.6719, 0.6719, 0.0000], [0.0050, 0.0050, 0.0000], [0.3231, 0.3231, 0.0000]],
  "e_above_lowest_polymorph_ev_per_fu": 0.00,
  "space_group": "I4mm",
  "volume_a3_per_atom": 21.02,
  "dos_at_fermi_per_ev_cell": 2.00
}

{
  "formula": "NdErNi",
  "functional": "PBE",
  "state": "relaxed",
  "lattice": [[-6.0579, 3.3564, 0.7758], [-0.3682, -1.6842, 4.4122], [2.2728, 4.1508, -0.2105]],
  "species": ["Nd", "Nd", "Er", "Er", "Ni", "Ni"],
  "fractional_positions": [[0.2500, 0.6465, 0.3535], [0.7500, 0.3535, 0.6465], [0.5000, 0.0000, 0.0000], [0.0000, 0.0000, 0.0000], [0.2500, 0.3012, 0.6988], [0.7500, 0.6988, 0.3012]],
  "e_above_lowest_polymorph_ev_per_fu": 0.52,
  "space_group": "Cmcm",
  "volume_a3_per_atom": 24.00,
  "dos_at_fermi_per_ev_cell": 6.29
}

{
  "formula": "NdAgSn2Se4",
  "functional": "PBE",
  "state": "relaxed",
  "lattice": [[4.2453, 0.0000, 0.0000], [0.0000, 7.5306, -0.2072], [0.0000, 2.5965, 6.6901]],
  "species": ["Nd", "Ag", "Sn", "Sn", "Se", "Se", "Se", "Se"],
  "fractional_positions": [[0.0000, 0.5000, 0.5000], [0.5000, 0.5000, 0.0000], [0.0000, 0.0000, 0.0000], [0.5000, 0.0000, 0.5000], [0.0000, 0.7396, 0.7558], [0.0000, 0.2604, 0.2442], [0.5000, 0.7450, 0.2545], [0.5000, 0.2550, 0.7455]],
  "space_group": "P2/m",
  "volume_a3_per_atom": 27.02,
  "formation_energy_uncorrected_mev_per_atom": -762,
  "dos_at_fermi_per_ev_cell": 0.02
}

{
  "formula": "SrCd4Se",
  "functional": "PBE",
  "state": "relaxed",
  "lattice": [[5.9667, 0.2172, 1.2449], [2.0625, -1.9554, 5.3964], [3.2338, -5.1599, 0.3409]],
  "species": ["Sr", "Cd", "Cd", "Cd", "Cd", "Se"],
  "fractional_positions": [[0.0000, 0.0000, 0.0000], [0.8731, 0.3756, 0.3756], [0.3756, 0.3756, 0.8731], [0.3756, 0.8731, 0.3756], [0.3756, 0.3756, 0.3756], [0.7500, 0.7500, 0.7500]],
  "space_group": "F-43m",
  "volume_a3_per_atom": 26.74,
  "formation_energy_uncorrected_mev_per_atom": -207,
  "dos_at_fermi_per_ev_cell": 2.81
}

{
  "formula": "Ca2AlW",
  "functional": "PBE",
  "state": "relaxed",
  "lattice": [[-3.1130, 4.0799, -3.0360], [-0.6830, -1.0654, -5.8269], [-1.0095, -2.3083, 5.4043]],
  "species": ["Ca", "Ca", "Al", "W"],
  "fractional_positions": [[0.0219, 0.0219, 0.0000], [0.7335, 0.2335, 0.5000], [0.2868, 0.7868, 0.5000], [0.4578, 0.4578, 0.0000]],
  "space_group": "Imm2",
  "total_energy_ev_per_atom": -4.629,
  "volume_a3_per_atom": 24.33,
  "dos_at_fermi_per_ev_cell": 3.71
}

{
  "formula": "Ho2TlV",
  "functional": "PBE",
  "state": "relaxed",
  "lattice": [[-0.1082, 1.8095, 3.1913], [-3.6663, -0.1663, -0.0300], [0.2615, -6.4255, 3.6522]],
  "species": ["Tl", "Ho", "Ho", "V"],
  "fractional_positions": [[0.5000, 0.5000, 0.5000], [0.0000, 0.0000, 0.7691], [0.0000, 0.0000, 0.2309], [0.5000, 0.5000, 0.0000]],
  "e_above_lowest_polymorph_ev_per_fu": 0.00,
  "space_group": "P4/mmm",
  "volume_a3_per_atom": 24.91,
  "dos_at_fermi_per_ev_cell": 3.05
}

{
  "formula": "CoIrSe2",
  "functional": "PBE",
  "state": "relaxed",
  "lattice": [[-4.8406, -3.6237, 4.4398], [-3.1458, -5.9813, 3.2562], [-2.0822, -4.3728, 5.7287]],
  "species": ["Co", "Ir", "Se", "Se"],
  "fractional_positions": [[0.2500, 0.2500, 0.2500], [0.7500, 0.7500, 0.7500], [0.9930, 0.9930, 0.9930], [0.5070, 0.5070, 0.5070]],
  "e_above_lowest_polymorph_ev_per_fu": 1.56,
  "space_group": "R-3m",
  "volume_a3_per_atom": 15.50,
  "formation_energy_uncorrected_mev_per_atom": 294,
  "dos_at_fermi_per_ev_cell": 5.69
}

{
  "formula": "Li3Ag7Pb",
  "functional": "PBE",
  "state": "relaxed",
  "lattice": [[-5.4274, -1.2989, -0.0682], [2.6975, -4.8004, -3.2863], [1.8597, -1.7810, 5.8728]],
  "species": ["Li", "Li", "Li", "Ag", "Ag", "Ag", "Ag", "Ag", "Ag", "Ag", "Pb"],
  "fractional_positions": [[0.0000, 0.7698, 0.2302], [0.5000, 0.0000, 0.0000], [0.0000, 0.2302, 0.7698], [0.0361, 0.1757, 0.1757], [0.3003, 0.0441, 0.5866], [0.6997, 0.4134, 0.9559], [0.3003, 0.5866, 0.0441], [0.0000, 0.5000, 0.5000], [0.6997, 0.9559, 0.4134], [0.9639, 0.8243, 0.8243], [0.5000, 0.5000, 0.5000]],
  "space_group": "C2/m",
  "total_energy_ev_per_atom": -2.641,
  "volume_a3_per_atom": 19.36,
  "dos_at_fermi_per_ev_cell": 2.75
}

{
  "formula": "Ac2MgZn",
  "functional": "PBE",
  "state": "relaxed",
  "lattice": [[3.9808, 0.0000, 0.0000], [0.0000, 3.9808, 0.0000], [0.0000, 0.0000, 8.1708]],
  "species": ["Mg", "Ac", "Ac", "Zn"],
  "fractional_positions": [[0.5000, 0.5000, 0.5000], [0.0000, 0.0000, 0.7702], [0.0000, 0.0000, 0.2298], [0.5000, 0.5000, 0.0000]],
  "e_above_lowest_polymorph_ev_per_fu": 0.00,
  "space_group": "P4/mmm",
  "volume_a3_per_atom": 32.37,
  "dos_at_fermi_per_ev_cell": 4.93
}

{
  "formula": "TbHgPd6",
  "functional": "PBE",
  "state": "relaxed",
  "lattice": [[4.9277, 0.9106, -0.1136], [1.2782, 4.8453, -0.1136], [1.6343, 1.5158, 6.8589]],
  "species": ["Tb", "Hg", "Pd", "Pd", "Pd", "Pd", "Pd", "Pd"],
  "fractional_positions": [[0.5000, 0.5000, 0.5000], [0.0000, 0.0000, 0.0000], [0.0508, 0.5363, 0.3016], [0.5363, 0.0508, 0.3016], [0.4637, 0.9492, 0.6984], [0.9492, 0.4637, 0.6984], [0.3581, 0.3581, 0.9412], [0.6419, 0.6419, 0.0588]],
  "e_above_lowest_polymorph_ev_per_fu": 2.34,
  "space_group": "C2/m",
  "volume_a3_per_atom": 19.64,
  "dos_at_fermi_per_ev_cell": 4.73
}

{
  "formula": "Ba2Na2Hg",
  "functional": "PBE",
  "state": "relaxed",
  "lattice": [[-4.2160, 4.0402, -7.1459], [-6.4222, -6.6269, 0.0423], [-3.2624, 3.1855, 3.7258]],
  "species": ["Na", "Na", "Na", "Na", "Hg", "Hg", "Ba", "Ba", "Ba", "Ba"],
  "fractional_positions": [[0.1399, 0.6399, 0.5000], [0.6399, 0.8601, 0.5000], [0.8601, 0.3601, 0.5000], [0.3601, 0.1399, 0.5000], [0.0000, 0.0000, 0.0000], [0.5000, 0.5000, 0.0000], [0.3355, 0.8355, 0.0000], [0.8355, 0.6645, 0.0000], [0.6645, 0.1645, 0.0000], [0.1645, 0.3355, 0.0000]],
  "e_above_lowest_polymorph_ev_per_fu": 1.08,
  "space_group": "P4/mbm",
  "volume_a3_per_atom": 50.15,
  "dos_at_fermi_per_ev_cell": 8.91
}

{
  "formula": "Cd3HgBr",
  "functional": "PBE",
  "state": "relaxed",
  "lattice": [[5.4939, 0.0000, 0.0000], [0.0000, 5.4939, 0.0000], [0.0000, 0.0000, 5.4939]],
  "species": ["Hg", "Br", "Cd", "Cd", "Cd"],
  "fractional_positions": [[0.0000, 0.0000, 0.0000], [0.5000, 0.5000, 0.5000], [0.0000, 0.5000, 0.0000], [0.0000, 0.0000, 0.5000], [0.5000, 0.0000, 0.0000]],
  "e_above_lowest_polymorph_ev_per_fu": 0.00,
  "space_group": "Pm-3m",
  "volume_a3_per_atom": 33.16,
  "formation_energy_uncorrected_mev_per_atom": -19,
  "dos_at_fermi_per_ev_cell": 1.49
}

{
  "formula": "HgGeAuF2",
  "functional": "PBE",
  "state": "relaxed",
  "lattice": [[4.1548, 0.0000, 0.0000], [0.0000, 4.1548, 0.0000], [0.0000, 0.0000, 5.2927]],
  "species": ["Ge", "Au", "Hg", "F", "F"],
  "fractional_positions": [[0.0000, 0.0000, 0.0000], [0.0000, 0.0000, 0.5000], [0.5000, 0.5000, 0.5000], [0.0000, 0.5000, 0.0000], [0.5000, 0.0000, 0.0000]],
  "space_group": "P4/mmm",
  "volume_a3_per_atom": 18.27,
  "formation_energy_uncorrected_mev_per_atom": -1118,
  "dos_at_fermi_per_ev_cell": 0.66
}

{
  "formula": "PrHoI6",
  "functional": "PBE",
  "state": "relaxed",
  "lattice": [[7.7165, 0.0103, 0.0103], [3.8499, 6.6882, 0.0144], [3.8468, 2.2235, 7.0048]],
  "species": ["Pr", "Ho", "I", "I", "I", "I", "I", "I"],
  "fractional_positions": [[0.0000, 0.0000, 0.0000], [0.5000, 0.5000, 0.5000], [0.0942, 0.4182, 0.7451], [0.7424, 0.0943, 0.7452], [0.5818, 0.2576, 0.2549], [0.2576, 0.9057, 0.2548], [0.9058, 0.5818, 0.2549], [0.4182, 0.7424, 0.7451]],
  "space_group": "R-3",
  "volume_a3_per_atom": 45.10,
  "formation_energy_uncorrected_mev_per_atom": -1338,
  "dos_at_fermi_per_ev_cell": 0.00
}